GGA-PBE AsBrCl2, optimized geometry; excess energy over the best structure of this formula in the dataset = 0.0868 eV/atom; ΔE_f (raw) = -532 meV per atom; total moment = 0.000 μB/f.u.
1.0
1.858 -6.628 0.000
1.858 6.628 0.000
0.000 0.000 11.875
As Br Cl
2 2 4
Cartesian
1.858 5.058 8.906
1.858 -5.058 2.969
1.858 5.854 2.969
1.858 -5.854 8.906
1.858 1.799 1.226
1.858 1.799 4.711
1.858 -1.799 7.164
1.858 -1.799 10.648

GGA-PBE Na3Tm2BiSe6, optimized geometry; ΔE_f (raw) = -1378 meV per atom; total moment = 0.000 μB/f.u.
1.0
3.594 -6.227 0.000
3.594 6.227 0.000
-2.402 0.000 7.023
Na Tm Bi Se
3 2 1 6
Cartesian
0.000 0.000 0.000
3.594 2.016 0.000
3.594 -2.016 0.000
2.393 4.143 3.511
2.393 -4.143 3.511
2.393 0.000 3.511
1.158 2.139 1.897
-0.078 0.000 5.120
1.158 -2.139 1.897
3.628 2.139 5.125
4.865 0.000 1.903
3.628 -2.139 5.125

GGA-PBE KRbTcO4, optimized geometry; ΔE_f (raw) = -1651 meV per atom; total moment = 1.004 μB/f.u.
1.0
6.515 0.000 0.000
0.000 6.558 0.000
-2.468 0.000 7.270
K Rb Tc O
2 2 2 8
Cartesian
1.138 1.640 0.223
2.909 4.919 7.047
0.545 1.640 4.123
3.501 4.919 3.147
-0.327 4.919 5.885
4.373 1.640 1.385
-1.372 3.497 5.535
-1.372 6.340 5.535
2.603 4.919 0.342
1.175 4.919 4.900
2.872 1.640 2.370
1.444 1.640 6.928
5.419 0.218 1.735
5.419 3.061 1.735

Question: The lowest ΔE_f (raw) belongs to which entry?
Answer: KRbTcO4

Copy entry 3 word for word.
GGA-PBE KRbTcO4, optimized geometry; ΔE_f (raw) = -1651 meV per atom; total moment = 1.004 μB/f.u.
1.0
6.515 0.000 0.000
0.000 6.558 0.000
-2.468 0.000 7.270
K Rb Tc O
2 2 2 8
Cartesian
1.138 1.640 0.223
2.909 4.919 7.047
0.545 1.640 4.123
3.501 4.919 3.147
-0.327 4.919 5.885
4.373 1.640 1.385
-1.372 3.497 5.535
-1.372 6.340 5.535
2.603 4.919 0.342
1.175 4.919 4.900
2.872 1.640 2.370
1.444 1.640 6.928
5.419 0.218 1.735
5.419 3.061 1.735